Compound: UZnPtAu
Source: Alexandria via LeMat-Bulk
Functional: PBE-GGA
Structure: optimized geometry

Values from the calculation:
* energy of formation from the pure elements: -0.341 eV/atom

Unit cell a=4.7866 b=4.7866 c=4.7866 alpha=60.00 beta=60.00 gamma=60.00
Atoms (fractional coordinates):
1 Zn 0.5000 0.5000 0.5000
2 U 0.0000 0.0000 0.0000
3 Pt 0.7500 0.7500 0.7500
4 Au 0.2500 0.2500 0.2500